1.
VASP calculation (PBE) on crystalline GdErOs at its relaxed geometry.

Summary:
Its crystal system is cubic. The formation energy comes out at 0.7533 eV per atom.

Cell: 4.7199 4.7199 4.7199 Å, 60.00 60.00 60.00°
Last column: nearest neighbours and their distance in Å.
Sites, in units of the cell vectors:
Gd 0.0000 0.0000 0.0000  4 Er 2.89, 4 Os 2.89
Er 0.7500 0.7500 0.7500  4 Gd 2.89
Os 0.2500 0.2500 0.2500  4 Gd 2.89


2.
VASP calculation (PBE) on crystalline Gd2ErSc3OsS2 at its relaxed geometry.

Summary:
Its crystal system is orthorhombic. The total energy is -60.4 eV for the cell shown.

Cell: 3.8830 7.5454 7.5454 Å, 120.43 90.00 90.00°
Last column: nearest neighbours and their distance in Å.
Sites, in units of the cell vectors:
Gd 0.0000 0.2062 0.7938  4 S 2.99, 1 Os 3.16, 6 Sc 3.23-3.34
Gd 0.0000 0.7938 0.2062  4 S 2.99, 1 Os 3.16, 6 Sc 3.23-3.34
Er 0.0000 0.3863 0.3863  1 Os 2.97, 4 S 2.99, 6 Sc 3.28-3.31
Sc 0.5000 0.0340 0.0340  2 Os 2.71, 2 S 2.92
Sc 0.5000 0.5494 0.7950  2 Os 2.65, 2 S 2.89-2.91
Sc 0.5000 0.7950 0.5494  2 Os 2.65, 2 S 2.89-2.91
Os 0.0000 0.7824 0.7824  6 Sc 2.65-2.71, 1 Er 2.97
S 0.5000 0.1284 0.4602  3 Sc 2.89-2.92, 4 Gd 2.99, 2 Er 2.99
S 0.5000 0.4602 0.1284  3 Sc 2.89-2.92, 4 Gd 2.99, 2 Er 2.99